# 1
A relaxed Be2Al2Hg crystal. Source: Alexandria, functional PBE.

Crystal system = tetragonal
Energy relative to the elements = 0.2591 eV per atom

Lattice parameters (Å, degrees): 6.2099 6.2099 3.7871 90.00 90.00 90.00
Closest atoms and distances in Å follow each position.
Space group P4/mbm (No. 127)
Symmetry-distinct sites (fractional):
1 Be 0.1222 0.3778 0.0000 [4 per cell]  1 Be 2.15
2 Al 0.1564 0.6564 0.5000 [4 per cell]  6 Be 2.57-2.71, 1 Al 2.75
3 Hg 0.0000 0.0000 0.0000 [2 per cell]  4 Be 2.47

# 2
A relaxed Tm4SiSbTe2 crystal. Source: Alexandria, functional PBE.

Crystal system = monoclinic
Energy relative to the elements, uncorrected = -1.132 eV per atom

Lattice parameters (Å, degrees): 7.4021 4.2436 7.4301 90.00 109.17 90.00
Closest atoms and distances in Å follow each position.
Space group P2/m (No. 10)
Symmetry-distinct sites (fractional):
1 Tm 0.2266 0.0000 0.2211 [2 per cell]  2 Si 2.86, 1 Sb 3.00, 3 Te 3.06-3.18
2 Tm 0.2407 0.5000 0.7720 [2 per cell]  1 Si 2.83, 2 Sb 2.99, 2 Te 3.07
3 Si 0.0000 0.5000 0.0000 [1 per cell]  6 Tm 2.83-2.86
4 Sb 0.5000 0.0000 0.0000 [1 per cell]  6 Tm 2.99-3.00
5 Te 0.0000 0.0000 0.5000 [1 per cell]  6 Tm 3.06-3.07
6 Te 0.5000 0.5000 0.5000 [1 per cell]  6 Tm 3.18-3.21

# 3
A relaxed YC crystal. Source: Alexandria, functional PBE.

Crystal system = orthorhombic
Energy relative to the elements = -0.0868 eV per atom

Lattice parameters (Å, degrees): 3.6394 9.5449 6.1523 90.00 90.00 90.00
Closest atoms and distances in Å follow each position.
Space group Imm2 (No. 44)
Symmetry-distinct sites (fractional):
1 Y 0.0000 0.0000 0.0000 [2 per cell]  6 C 2.47-2.50
2 Y 0.0000 0.3243 0.0745 [4 per cell]  4 C 2.48-2.61
3 C 0.0000 0.3603 0.6758 [4 per cell]  1 C 1.45
4 C 0.0000 0.5000 0.7703 [2 per cell]  2 C 1.45

# 4
A relaxed Tc2NiN crystal. Source: Alexandria, functional PBE.

Crystal system = trigonal
Energy relative to the elements, uncorrected = 0.416 eV per atom

Lattice parameters (Å, degrees): 3.1822 3.1822 16.9050 90.00 90.00 120.00
Closest atoms and distances in Å follow each position.
Space group R-3m (No. 166, hexagonal axes)
Symmetry-distinct sites (fractional):
1 Tc 0.0000 0.0000 0.2242 [6 per cell]  3 N 2.08
2 Ni 0.0000 0.0000 0.0000 [3 per cell]  6 Tc 2.60
3 N 0.0000 0.0000 0.5000 [3 per cell]  6 Tc 2.08

| no. | calculated density (kg/m3) | density of states at the Fermi level (states/eV/atom) |
| --- | --- | --- |
| 1 | 6199 | 0.307 |
| 2 | 8141 | 0.203 |
| 3 | 4705 | 0.579 |
| 4 | 9029 | 0.887 |